This record from Alexandria via LeMat-Bulk describes a geometry-optimized LiTi2NbS structure. The functional is PBE.

The structure belongs to space group P4/mmm (No. 123); the cell edges are 4.2986, 4.2986 and 4.4646 Å and the angles 90.00°, 90.00° and 90.00°. The inequivalent atoms are Li at (0.0000, 0.0000, 0.0000), Ti at (0.0000, 0.5000, 0.0000), Nb at (0.0000, 0.0000, 0.5000) and S at (0.5000, 0.5000, 0.5000).

The density of states at the Fermi level comes out at 6.97 states/eV/f.u. For the uncorrected formation energy, the calculation gives 0.86 eV per atom.